Record 1
## Ni3GeH (PBE-GGA)

Data for a relaxed Ni3GeH crystal.

The uncorrected energy comes out at -4.89 eV per atom. The calculation puts the spin magnetization at 0.000 μB per atom. The space-group type is No. 160. The polymorph energy (0 for the lowest one) is 0.402 eV per atom.

```
Ni3GeH
1.0
3.790 0.000 1.495
-1.895 3.282 1.495
-1.895 -3.282 1.495
Ni H Ge
3 1 1
Direct
0.107 0.703 0.703 Ni
0.703 0.703 0.107 Ni
0.703 0.107 0.703 Ni
0.975 0.975 0.975 H
0.386 0.386 0.386 Ge
```

---

Record 2
## Ni3GeH (PBE-GGA)

Data for a relaxed Ni3GeH crystal.

The uncorrected energy comes out at -4.44 eV per atom. The calculation puts the spin magnetization at 0.000 μB per atom. The space-group type is No. 119. The polymorph energy (0 for the lowest one) is 0.850 eV per atom.

```
Ni3GeH
1.0
-3.728 -1.279 1.570
-0.258 -2.963 -3.026
1.933 -7.506 4.209
H Ni Ge
2 6 2
Direct
0.859 0.359 0.283 H
0.641 0.141 0.717 H
0.125 0.370 0.750 Ni
0.654 0.654 0.692 Ni
0.346 0.346 0.308 Ni
0.630 0.875 0.250 Ni
0.119 0.875 0.250 Ni
0.125 0.881 0.750 Ni
0.000 0.000 0.000 Ge
0.250 0.750 0.500 Ge
```

---

Record 3
## Ni3GeH (PBE-GGA)

Data for a relaxed Ni3GeH crystal.

The uncorrected energy comes out at -5.14 eV per atom. The calculation puts the spin magnetization at 0.000 μB per atom. The space-group type is No. 227. The polymorph energy (0 for the lowest one) is 0.149 eV per atom.

```
Ni3GeH
1.0
1.526 2.530 6.045
1.841 6.446 0.583
-4.131 4.427 2.935
Ni H Ge
12 4 4
Direct
0.194 0.194 0.806 Ni
0.444 0.056 0.056 Ni
0.806 0.806 0.194 Ni
0.056 0.056 0.444 Ni
0.056 0.444 0.056 Ni
0.444 0.056 0.444 Ni
0.056 0.444 0.444 Ni
0.194 0.806 0.194 Ni
0.444 0.444 0.056 Ni
0.194 0.806 0.806 Ni
0.806 0.194 0.194 Ni
0.806 0.194 0.806 Ni
0.125 0.125 0.625 H
0.625 0.125 0.125 H
0.125 0.125 0.125 H
0.125 0.625 0.125 H
0.625 0.625 0.125 Ge
0.625 0.625 0.625 Ge
0.125 0.625 0.625 Ge
0.625 0.125 0.625 Ge
```